(1)
Here is a geometry-optimized ErV2O4 structure from the Alexandria database. Energies are from PBE with a Hubbard U.

Cell: 5.892 5.941 5.952 Å, 110.68 108.93 108.19°
Space group P-1 (No. 2)
Asymmetric unit:
Er: 0.119 0.372 0.252 [2 per cell]
V: 0.000 0.000 0.500 [1 per cell]
V: 0.500 0.000 0.000 [1 per cell]
V: 0.500 0.000 0.500 [1 per cell]
V: 0.500 0.500 0.000 [1 per cell]
O: 0.207 0.770 0.561 [2 per cell]
O: 0.210 0.155 0.939 [2 per cell]
O: 0.269 0.695 0.063 [2 per cell]
O: 0.363 0.292 0.561 [2 per cell]

The calculation puts the density at 6.8 g/cm³. The density of states at the Fermi level comes out at 0.037 states/eV/f.u. For the total energy, the calculation gives -113.10 eV per cell.

***

(2)
Here is a geometry-optimized ErVO2 structure from the Alexandria database. Energies are from PBE with a Hubbard U.

Cell: 6.172 6.172 11.489 Å, 90.00 90.00 90.00°
Space group I4_1/amd (No. 141, origin choice 2)
Asymmetric unit:
Er: 0.000 0.000 0.000 [8 per cell]
V: 0.000 0.000 0.500 [8 per cell]
O: 0.000 0.013 0.201 [16 per cell]

The calculation puts the density at 7.6 g/cm³. The density of states at the Fermi level comes out at 0.436 states/eV/f.u. For the total energy, the calculation gives -245.56 eV per cell.

***

(3)
Here is a geometry-optimized Er2VO6 structure from the Alexandria database. Energies are from PBE with a Hubbard U.

Cell: 4.934 4.934 9.773 Å, 90.00 90.00 90.00°
Space group P4_2/mnm (No. 136)
Asymmetric unit:
Er: 0.000 0.000 0.170 [4 per cell]
V: 0.000 0.000 0.500 [2 per cell]
O: 0.185 0.185 0.357 [8 per cell]
O: 0.225 0.225 0.000 [4 per cell]

The calculation puts the density at 6.7 g/cm³. The density of states at the Fermi level comes out at 4.198 states/eV/f.u. For the total energy, the calculation gives -139.30 eV per cell.

***

(4)
Here is a geometry-optimized YEr3V4O16 structure from the Alexandria database. Energies are from PBE with a Hubbard U.

Cell: 6.330 10.141 10.146 Å, 90.00 90.00 90.00°
Space group C222 (No. 21)
Asymmetric unit:
Y: 0.000 0.000 0.000 [2 per cell]
Er: 0.000 0.500 0.500 [2 per cell]
Er: 0.250 0.250 0.251 [4 per cell]
V: 0.000 0.000 0.500 [2 per cell]
V: 0.000 0.500 0.000 [2 per cell]
V: 0.250 0.250 0.748 [4 per cell]
O: 0.072 0.158 0.841 [8 per cell]
O: 0.073 0.343 0.656 [8 per cell]
O: 0.175 0.407 0.093 [8 per cell]
O: 0.177 0.093 0.407 [8 per cell]

The calculation puts the density at 5.4 g/cm³. The density of states at the Fermi level comes out at 0.000 states/eV/f.u. For the total energy, the calculation gives -390.14 eV per cell.

***

(5)
Here is a geometry-optimized YErV2O8 structure from the Alexandria database. Energies are from PBE with a Hubbard U.

Cell: 7.190 7.190 6.342 Å, 90.00 90.00 90.00°
Space group I-4m2 (No. 119)
Asymmetric unit:
Y: 0.000 0.000 0.000 [2 per cell]
Er: 0.000 0.500 0.250 [2 per cell]
V: 0.000 0.000 0.500 [2 per cell]
V: 0.000 0.500 0.750 [2 per cell]
O: 0.000 0.186 0.325 [8 per cell]
O: 0.000 0.316 0.927 [8 per cell]

The calculation puts the density at 4.9 g/cm³. The density of states at the Fermi level comes out at 0.000 states/eV/f.u. For the total energy, the calculation gives -196.83 eV per cell.

***

(6)
Here is a geometry-optimized ErW2O8 structure from the Alexandria database. Energies are from PBE with a Hubbard U.

Cell: 4.853 4.853 10.930 Å, 90.00 90.00 90.00°
Space group I4/mmm (No. 139)
Asymmetric unit:
Er: 0.000 0.000 0.000 [2 per cell]
W: 0.000 0.500 0.250 [4 per cell]
O: 0.248 0.248 0.143 [16 per cell]

The calculation puts the density at 8.6 g/cm³. The density of states at the Fermi level comes out at 2.946 states/eV/f.u. For the total energy, the calculation gives -157.57 eV per cell.

***

(7)
Here is a geometry-optimized ErW4O12 structure from the Alexandria database. Energies are from PBE with a Hubbard U.

Cell: 7.510 7.817 7.831 Å, 90.00 90.00 90.00°
Space group Immm (No. 71)
Asymmetric unit:
Er: 0.000 0.000 0.000 [2 per cell]
W: 0.250 0.250 0.250 [8 per cell]
O: 0.000 0.296 0.293 [8 per cell]
O: 0.191 0.239 0.000 [8 per cell]
O: 0.192 0.000 0.243 [8 per cell]

The calculation puts the density at 7.9 g/cm³. The density of states at the Fermi level comes out at 2.463 states/eV/f.u. For the total energy, the calculation gives -260.41 eV per cell.